No. 1
The following is a PBE calculation of a geometry-optimized SnI2NO structure, from Alexandria.

Cell and atoms, written as POSCAR:
```
SnI2NO
1.0
-1.627 1.432 -4.995
-1.203 -5.196 -1.098
-3.707 0.569 1.370
I Sn O N
2 1 1 1
direct
0.000 0.500 0.000 I
0.500 0.000 0.000 I
0.500 0.500 0.500 Sn
0.000 0.000 0.000 O
0.000 0.000 0.500 N
```

## Properties
- ΔE_f (raw): 1.145 eV per atom
- Space-group type: P4/mmm, No. 123
- Excess energy over the best structure of this formula in the dataset: 0.440 eV per atom
- Uncorrected energy: -2.933 eV/atom

No. 2
The following is a PBE calculation of a geometry-optimized Y2CuAuC structure, from Alexandria.

Cell and atoms, written as POSCAR:
```
Y2CuAuC
1.0
-1.436 -1.564 4.489
-4.393 -1.354 -1.877
1.406 -3.498 -0.769
Y C Au Cu
2 1 1 1
direct
0.000 0.500 0.000 Y
0.500 0.000 0.000 Y
0.000 0.000 0.000 C
0.500 0.500 0.500 Au
0.000 0.000 0.500 Cu
```

## Properties
- Space-group type: P4/mmm, No. 123
- Formation energy from the elements: -407 meV/atom
- Uncorrected energy: -6.312 eV/atom

No. 3
The following is a PBE calculation of a geometry-optimized CaAcLaZn structure, from Alexandria.

Cell and atoms, written as POSCAR:
```
CaAcLaZn
1.0
-2.142 0.069 -5.324
-5.650 -0.568 -0.827
-3.104 4.485 -1.786
Ac Ca Zn La
1 1 1 1
direct
0.500 0.500 0.500 Ac
0.750 0.750 0.750 Ca
0.250 0.250 0.250 Zn
0.000 0.000 0.000 La
```

## Properties
- Space-group type: F-43m, No. 216
- Formation energy from the elements: 33 meV/atom
- Excess energy over the best structure of this formula in the dataset: 0.149 eV per atom
- Uncorrected energy: -3.045 eV/atom

No. 4
The following is a PBE calculation of a geometry-optimized TbHo6Co3 structure, from Alexandria.

Cell and atoms, written as POSCAR:
```
TbHo6Co3
1.0
7.193 0.000 0.000
0.000 8.310 -0.523
0.000 0.023 8.326
Tb Ho Co
2 12 6
direct
0.050 0.313 0.687 Tb
0.550 0.687 0.313 Tb
0.050 0.714 0.715 Ho
0.550 0.715 0.714 Ho
0.298 0.501 0.000 Ho
0.798 0.000 0.501 Ho
0.300 0.996 0.004 Ho
0.549 0.332 0.668 Ho
0.049 0.668 0.332 Ho
0.800 0.004 0.996 Ho
0.298 0.000 0.499 Ho
0.798 0.499 0.000 Ho
0.050 0.285 0.286 Ho
0.550 0.286 0.285 Ho
0.545 0.029 0.750 Co
0.045 0.750 0.029 Co
0.300 0.500 0.500 Co
0.800 0.500 0.500 Co
0.045 0.971 0.250 Co
0.545 0.250 0.971 Co
```

## Properties
- Space-group type: Cmc2_1, No. 36
- Formation energy from the elements: -66 meV/atom
- Uncorrected energy: -5.408 eV/atom